VASP calculation (PBE) on PS after structural relaxation.

Cell and atoms, written as CIF:
```
data_PS
_symmetry_space_group_name_H-M 'I 4/m m m'
_symmetry_Int_Tables_number 139
_symmetry_space_group_name_Hall '-I 4 2'
_cell_length_a 3.577
_cell_length_b 3.577
_cell_length_c 5.119
_cell_angle_alpha 90.00
_cell_angle_beta 90.00
_cell_angle_gamma 90.00
loop_
_atom_site_label
_atom_site_fract_x
_atom_site_fract_y
_atom_site_fract_z
_atom_site_occupancy
P1 0.000 0.000 0.000 1
S1 0.000 0.000 0.500 1
```

Calculated values
DOS at the Fermi energy = 2.5 states/eV per cell
formation energy without anion corrections = 438 meV/atom

***

VASP calculation (PBE) on Ac3Pr4Nd8 after structural relaxation.

Cell and atoms, written as CIF:
```
data_Ac3Pr4Nd8
_symmetry_space_group_name_H-M 'C 1 2/m 1'
_symmetry_Int_Tables_number 12
_cell_length_a 14.572
_cell_length_b 12.731
_cell_length_c 7.083
_cell_angle_alpha 90.00
_cell_angle_beta 119.04
_cell_angle_gamma 90.00
loop_
_symmetry_equiv_pos_as_xyz
'x,y,z'
'-x,-y,-z'
'-x,y,-z'
'x,-y,z'
'x+1/2,y+1/2,z'
'-x+1/2,-y+1/2,-z'
'-x+1/2,y+1/2,-z'
'x+1/2,-y+1/2,z'
loop_
_atom_site_label
_atom_site_fract_x
_atom_site_fract_y
_atom_site_fract_z
_atom_site_occupancy
Ac1 0.000 0.000 0.000 1
Ac2 0.250 0.250 0.500 1
Pr1 0.000 0.500 0.000 1
Pr2 0.000 0.500 0.500 1
Pr3 0.250 0.250 0.000 1
Nd1 0.000 0.205 0.500 1
Nd2 0.000 0.257 0.000 1
Nd3 0.202 0.000 0.705 1
Nd4 0.242 0.500 0.757 1
```

Calculated values
DOS at the Fermi energy = 55.3 states/eV per cell
formation energy = 318 meV/atom

***

VASP calculation (PBE) on Pu4ZrO10 after structural relaxation.

Cell and atoms, written as CIF:
```
data_Pu4ZrO10
_symmetry_space_group_name_H-M 'R -3 m'
_symmetry_Int_Tables_number 166
_symmetry_space_group_name_Hall '-R 3 2"'
_cell_length_a 3.7723
_cell_length_b 3.7723
_cell_length_c 46.3307
_cell_angle_alpha 90.00
_cell_angle_beta 90.00
_cell_angle_gamma 120.00
loop_
_atom_site_label
_atom_site_fract_x
_atom_site_fract_y
_atom_site_fract_z
_atom_site_occupancy
Pu1 0.0000 0.0000 0.1017 1
Pu2 0.0000 0.0000 0.2994 1
Zr1 0.0000 0.0000 0.5000 1
O1 0.0000 0.0000 0.0510 1
O2 0.0000 0.0000 0.1521 1
O3 0.0000 0.0000 0.2485 1
O4 0.0000 0.0000 0.3502 1
O5 0.0000 0.0000 0.4526 1
```

Calculated values
DOS at the Fermi energy = 36.7 states/eV per cell
formation energy without anion corrections = -3148 meV/atom

***

VASP calculation (PBE) on SrPrTm2 after structural relaxation.

Cell and atoms, written as CIF:
```
data_SrPrTm2
_symmetry_space_group_name_H-M 'R -3 m'
_symmetry_Int_Tables_number 166
_symmetry_space_group_name_Hall '-R 3 2"'
_cell_length_a 3.6235
_cell_length_b 3.6235
_cell_length_c 38.3409
_cell_angle_alpha 90.00
_cell_angle_beta 90.00
_cell_angle_gamma 120.00
loop_
_atom_site_label
_atom_site_fract_x
_atom_site_fract_y
_atom_site_fract_z
_atom_site_occupancy
Sr1 0.0000 0.0000 0.0000 1
Pr1 0.0000 0.0000 0.5000 1
Tm1 0.0000 0.0000 0.0922 1
```

Calculated values
DOS at the Fermi energy = 17.1 states/eV per cell
formation energy = 246 meV/atom

***

VASP calculation (PBE) on BaAgBH6 after structural relaxation.

Cell and atoms, written as CIF:
```
data_BaAgBH6
_symmetry_space_group_name_H-M 'P 1'
_symmetry_Int_Tables_number 1
_cell_length_a 4.521
_cell_length_b 5.812
_cell_length_c 5.944
_cell_angle_alpha 60.90
_cell_angle_beta 67.71
_cell_angle_gamma 89.99
loop_
_symmetry_equiv_pos_as_xyz
'x,y,z'
loop_
_atom_site_label
_atom_site_fract_x
_atom_site_fract_y
_atom_site_fract_z
_atom_site_occupancy
Ba1 0.000 0.000 0.000 1
Ag1 0.567 0.549 0.867 1
B1 0.265 0.965 0.469 1
H1 0.057 0.098 0.439 1
H2 0.144 0.755 0.710 1
H3 0.348 0.883 0.304 1
H4 0.480 0.725 0.040 1
H5 0.502 0.098 0.440 1
H6 0.638 0.350 0.723 1
```

Calculated values
VASP energy = -3.753 eV/atom
DOS at the Fermi energy = 0.0 states/eV per cell

***

VASP calculation (PBE) on Ce2DyGa6 after structural relaxation.

Cell and atoms, written as CIF:
```
data_Ce2DyGa6
_symmetry_space_group_name_H-M 'I m m m'
_symmetry_Int_Tables_number 71
_symmetry_space_group_name_Hall '-I 2 2'
_cell_length_a 4.439
_cell_length_b 7.075
_cell_length_c 13.033
_cell_angle_alpha 90.00
_cell_angle_beta 90.00
_cell_angle_gamma 90.00
loop_
_atom_site_label
_atom_site_fract_x
_atom_site_fract_y
_atom_site_fract_z
_atom_site_occupancy
Ce1 0.000 0.000 0.106 1
Dy1 0.000 0.500 0.000 1
Ga1 0.000 0.193 0.309 1
Ga2 0.000 0.289 0.500 1
```

Calculated values
DOS at the Fermi energy = 20.1 states/eV per cell
formation energy = -392 meV/atom

***

VASP calculation (PBE) on CsBa2U3S8 after structural relaxation.

Cell and atoms, written as CIF:
```
data_CsBa2U3S8
_symmetry_space_group_name_H-M 'R 3 m'
_symmetry_Int_Tables_number 160
_symmetry_space_group_name_Hall 'R 3 -2"'
_cell_length_a 8.4149
_cell_length_b 8.4149
_cell_length_c 22.8001
_cell_angle_alpha 90.00
_cell_angle_beta 90.00
_cell_angle_gamma 120.00
loop_
_atom_site_label
_atom_site_fract_x
_atom_site_fract_y
_atom_site_fract_z
_atom_site_occupancy
Cs1 0.0000 0.0000 0.0000 1
Ba1 0.0000 0.0000 0.2601 1
Ba2 0.0000 0.0000 0.6362 1
U1 0.1676 0.3352 0.4674 1
S1 0.0000 0.0000 0.4031 1
S2 0.0000 0.0000 0.8589 1
S3 0.0429 0.5214 0.4048 1
S4 0.1849 0.3698 0.2014 1
```

Calculated values
DOS at the Fermi energy = 41.4 states/eV per cell
formation energy without anion corrections = -1530 meV/atom

***

VASP calculation (PBE) on ZrCr2Se after structural relaxation.

Cell and atoms, written as CIF:
```
data_ZrCr2Se
_symmetry_space_group_name_H-M 'P 4/m m m'
_symmetry_Int_Tables_number 123
_symmetry_space_group_name_Hall '-P 4 2'
_cell_length_a 3.300
_cell_length_b 3.300
_cell_length_c 5.902
_cell_angle_alpha 90.00
_cell_angle_beta 90.00
_cell_angle_gamma 90.00
loop_
_atom_site_label
_atom_site_fract_x
_atom_site_fract_y
_atom_site_fract_z
_atom_site_occupancy
Zr1 0.000 0.000 0.000 1
Cr1 0.500 0.500 0.267 1
Se1 0.000 0.000 0.500 1
```

Calculated values
DOS at the Fermi energy = 3.1 states/eV per cell
formation energy without anion corrections = 82 meV/atom

***

VASP calculation (PBE) on GaCuGe after structural relaxation.

Cell and atoms, written as CIF:
```
data_GaCuGe
_symmetry_space_group_name_H-M 'P 1 2/m 1'
_symmetry_Int_Tables_number 10
_cell_length_a 5.790
_cell_length_b 2.960
_cell_length_c 6.480
_cell_angle_alpha 90.00
_cell_angle_beta 116.45
_cell_angle_gamma 90.00
loop_
_symmetry_equiv_pos_as_xyz
'x,y,z'
'-x,-y,-z'
'-x,y,-z'
'x,-y,z'
loop_
_atom_site_label
_atom_site_fract_x
_atom_site_fract_y
_atom_site_fract_z
_atom_site_occupancy
Ga1 0.142 0.000 0.284 1
Cu1 0.240 0.500 0.000 1
Ge1 0.363 0.000 0.725 1
```

Calculated values
DOS at the Fermi energy = 1.6 states/eV per cell
formation energy = 72 meV/atom

***

VASP calculation (PBE) on LiBeSb2 after structural relaxation.

Cell and atoms, written as CIF:
```
data_LiBeSb2
_symmetry_space_group_name_H-M 'C 1 m 1'
_symmetry_Int_Tables_number 8
_cell_length_a 9.876
_cell_length_b 3.876
_cell_length_c 4.010
_cell_angle_alpha 90.00
_cell_angle_beta 90.40
_cell_angle_gamma 90.00
loop_
_symmetry_equiv_pos_as_xyz
'x,y,z'
'x,-y,z'
'x+1/2,y+1/2,z'
'x+1/2,-y+1/2,z'
loop_
_atom_site_label
_atom_site_fract_x
_atom_site_fract_y
_atom_site_fract_z
_atom_site_occupancy
Li1 0.000 0.000 0.000 1
Be1 0.164 0.000 0.503 1
Sb1 0.213 0.500 0.002 1
Sb2 0.444 0.000 0.499 1
```

Calculated values
DOS at the Fermi energy = 3.5 states/eV per cell
formation energy without anion corrections = 109 meV/atom

***

VASP calculation (PBE) on CaSBrN2 after structural relaxation.

Cell and atoms, written as CIF:
```
data_CaSBrN2
_symmetry_space_group_name_H-M 'P 4/m m m'
_symmetry_Int_Tables_number 123
_symmetry_space_group_name_Hall '-P 4 2'
_cell_length_a 4.137
_cell_length_b 4.137
_cell_length_c 5.050
_cell_angle_alpha 90.00
_cell_angle_beta 90.00
_cell_angle_gamma 90.00
loop_
_atom_site_label
_atom_site_fract_x
_atom_site_fract_y
_atom_site_fract_z
_atom_site_occupancy
Ca1 0.000 0.000 0.000 1
S1 0.500 0.500 0.000 1
Br1 0.500 0.500 0.500 1
N1 0.000 0.500 0.500 1
```

Calculated values
DOS at the Fermi energy = 4.3 states/eV per cell
formation energy without anion corrections = 1162 meV/atom

***

VASP calculation (PBE) on SnHg2P after structural relaxation.

Cell and atoms, written as CIF:
```
data_SnHg2P
_symmetry_space_group_name_H-M 'F m -3 m'
_symmetry_Int_Tables_number 225
_symmetry_space_group_name_Hall '-F 4 2 3'
_cell_length_a 7.217
_cell_length_b 7.217
_cell_length_c 7.217
_cell_angle_alpha 90.00
_cell_angle_beta 90.00
_cell_angle_gamma 90.00
loop_
_atom_site_label
_atom_site_fract_x
_atom_site_fract_y
_atom_site_fract_z
_atom_site_occupancy
Sn1 0.000 0.000 0.000 1
Hg1 0.250 0.250 0.250 1
P1 0.000 0.000 0.500 1
```

Calculated values
DOS at the Fermi energy = 11.4 states/eV per cell
formation energy = 416 meV/atom

***

Q: Which of these has the highest DOS at the Fermi energy?
A: Ac3Pr4Nd8

***

Q: Which value of DOS at the Fermi energy does entry 12 give?
A: 11.4 states/eV per cell

***

Q: DOS at the Fermi energy of number 1 (PS)?
A: 2.5 states/eV per cell